Entry 1:
The following is a PBE calculation of Tm2ThAg2Hg2 after structural relaxation, from the Alexandria database.

Cell lengths 4.8979, 4.8979, 24.7221 Å; angles 90.00, 90.00, 120.00 degrees
Space group R-3m (No. 166, hexagonal axes)
One atom of each set of equivalent atoms:
1 Tm 0.0000 0.0000 0.1316 x6
2 Th 0.0000 0.0000 0.0000 x3
3 Ag 0.0000 0.0000 0.4298 x6
4 Hg 0.0000 0.0000 0.2628 x6

## Properties
- calculated density (g/cm³) = 11.51
- energy of formation from the pure elements (meV/atom) = -143
- D(E_F) (states/eV/atom) = 1.1753


Entry 2:
The following is a PBE calculation of YThAgHg after structural relaxation, from the Alexandria database.

Cell lengths 7.497, 7.497, 7.497 Å; angles 90.00, 90.00, 90.00 degrees
Space group F-43m (No. 216)
One atom of each set of equivalent atoms:
1 Y 0.000 0.000 0.000 x4
2 Th 0.000 0.000 0.500 x4
3 Ag 0.250 0.250 0.750 x4
4 Hg 0.250 0.250 0.250 x4

## Properties
- calculated density (g/cm³) = 9.92
- energy of formation from the pure elements (meV/atom) = -235
- D(E_F) (states/eV/atom) = 0.9292


Entry 3:
The following is a PBE calculation of Th3Zn6AgHg2 after structural relaxation, from the Alexandria database.

Cell lengths 5.9383, 5.9383, 8.7570 Å; angles 90.00, 90.00, 120.00 degrees
Space group P-3m1 (No. 164)
One atom of each set of equivalent atoms:
1 Th 0.0000 0.0000 0.0000 x1
2 Th 0.3333 0.6667 0.6043 x2
3 Zn 0.1828 0.3656 0.2812 x6
4 Ag 0.0000 0.0000 0.5000 x1
5 Hg 0.3333 0.6667 0.9777 x2

## Properties
- calculated density (g/cm³) = 9.92
- energy of formation from the pure elements (meV/atom) = -87
- D(E_F) (states/eV/atom) = 0.5347


Entry 4:
The following is a PBE calculation of ThZnAgHg after structural relaxation, from the Alexandria database.

Cell lengths 7.082, 7.082, 7.082 Å; angles 90.00, 90.00, 90.00 degrees
Space group F-43m (No. 216)
One atom of each set of equivalent atoms:
1 Th 0.000 0.000 0.000 x4
2 Zn 0.250 0.250 0.250 x4
3 Ag 0.250 0.250 0.750 x4
4 Hg 0.000 0.000 0.500 x4

## Properties
- calculated density (g/cm³) = 11.33
- energy of formation from the pure elements (meV/atom) = -151
- D(E_F) (states/eV/atom) = 0.5466